Entry 1:
# GGA-PBE HfCo2Bi2, optimized geometry
# Formation energy from the elements, eV/atom: 0.400
# E, eV per atom: -5.9853
# Offset from the most stable computed form, meV per atom: 207.5
data_HfCo2Bi2
_chemical_formula_sum 'Hf1 Co2 Bi2'
_space_group_name_H-M_alt 'P 1'
_space_group_IT_number 1
_space_group_name_Hall 'P 1'
_cell_length_a 3.388
_cell_length_b 3.388
_cell_length_c 9.242
_cell_angle_alpha 79.44
_cell_angle_beta 79.44
_cell_angle_gamma 90.00
loop_
_atom_site_label
_atom_site_fract_x
_atom_site_fract_y
_atom_site_fract_z
Bi1 0.379 0.379 0.242
Hf1 0.000 0.000 0.000
Bi2 0.621 0.621 0.758
Co1 0.750 0.250 0.500
Co2 0.250 0.750 0.500

Entry 2:
# GGA-PBE Hf6CoBi2, optimized geometry
# Formation energy from the elements, eV/atom: -0.256
# E, eV per atom: -8.5440
# Offset from the most stable computed form, meV per atom: 0.0
data_Hf6CoBi2
_chemical_formula_sum 'Hf6 Co1 Bi2'
_space_group_name_H-M_alt 'P 1'
_space_group_IT_number 1
_space_group_name_Hall 'P 1'
_cell_length_a 7.865
_cell_length_b 7.865
_cell_length_c 3.624
_cell_angle_alpha 90.00
_cell_angle_beta 90.00
_cell_angle_gamma 120.00
loop_
_atom_site_label
_atom_site_fract_x
_atom_site_fract_y
_atom_site_fract_z
Hf1 0.000 0.234 0.000
Hf2 0.766 0.766 0.000
Bi1 0.333 0.667 0.000
Hf3 0.386 0.386 0.500
Co1 0.000 0.000 0.500
Hf4 0.000 0.614 0.500
Hf5 0.234 0.000 0.000
Bi2 0.667 0.333 0.000
Hf6 0.614 0.000 0.500

Entry 3:
# GGA-PBE Hf5Co2Bi, optimized geometry
# Formation energy from the elements, eV/atom: -0.268
# E, eV per atom: -8.7509
data_Hf5Co2Bi
_chemical_formula_sum 'Hf10 Co4 Bi2'
_space_group_name_H-M_alt 'P 1'
_space_group_IT_number 1
_space_group_name_Hall 'P 1'
_cell_length_a 7.094
_cell_length_b 7.094
_cell_length_c 8.168
_cell_angle_alpha 115.73
_cell_angle_beta 115.73
_cell_angle_gamma 90.00
loop_
_atom_site_label
_atom_site_fract_x
_atom_site_fract_y
_atom_site_fract_z
Hf1 0.718 0.218 0.750
Hf2 0.282 0.782 0.250
Co1 0.134 0.366 0.000
Bi1 0.750 0.750 0.500
Hf3 0.468 0.282 0.250
Hf4 0.968 0.468 0.250
Hf5 0.500 0.500 0.000
Co2 0.866 0.634 0.000
Co3 0.634 0.134 0.000
Hf6 0.782 0.968 0.250
Co4 0.366 0.866 0.000
Hf7 0.000 0.000 0.000
Hf8 0.532 0.718 0.750
Hf9 0.218 0.032 0.750
Hf10 0.032 0.532 0.750
Bi2 0.250 0.250 0.500

Entry 4:
# GGA-PBE Hf2CoBi, optimized geometry
# Formation energy from the elements, eV/atom: 0.060
# E, eV per atom: -7.6638
data_Hf2CoBi
_chemical_formula_sum 'Hf4 Co2 Bi2'
_space_group_name_H-M_alt 'P 1'
_space_group_IT_number 1
_space_group_name_Hall 'P 1'
_cell_length_a 7.564
_cell_length_b 7.564
_cell_length_c 6.120
_cell_angle_alpha 51.83
_cell_angle_beta 51.83
_cell_angle_gamma 90.00
loop_
_atom_site_label
_atom_site_fract_x
_atom_site_fract_y
_atom_site_fract_z
Hf1 0.194 0.625 0.250
Hf2 0.556 0.125 0.250
Hf3 0.875 0.806 0.750
Bi1 0.000 0.000 0.000
Bi2 0.750 0.250 0.500
Co1 0.250 0.750 0.500
Co2 0.500 0.500 0.000
Hf4 0.375 0.444 0.750

Entry 5:
# GGA-PBE Hf2Co2Bi, optimized geometry
# Formation energy from the elements, eV/atom: -0.083
# E, eV per atom: -7.6827
# Offset from the most stable computed form, meV per atom: 168.2
data_Hf2Co2Bi
_chemical_formula_sum 'Hf2 Co2 Bi1'
_space_group_name_H-M_alt 'P 1'
_space_group_IT_number 1
_space_group_name_Hall 'P 1'
_cell_length_a 4.333
_cell_length_b 4.333
_cell_length_c 5.947
_cell_angle_alpha 68.63
_cell_angle_beta 68.63
_cell_angle_gamma 90.00
loop_
_atom_site_label
_atom_site_fract_x
_atom_site_fract_y
_atom_site_fract_z
Hf1 0.250 0.750 0.500
Co1 0.388 0.388 0.224
Co2 0.612 0.612 0.776
Hf2 0.750 0.250 0.500
Bi1 0.000 0.000 0.000

Entry 6:
# GGA-PBE Li2HfCoBi, optimized geometry
# Formation energy from the elements, eV/atom: 0.867
# E, eV per atom: -4.0864
data_Li2HfCoBi
_chemical_formula_sum 'Li2 Hf1 Co1 Bi1'
_space_group_name_H-M_alt 'P 1'
_space_group_IT_number 1
_space_group_name_Hall 'P 1'
_cell_length_a 4.771
_cell_length_b 4.771
_cell_length_c 5.599
_cell_angle_alpha 90.00
_cell_angle_beta 90.00
_cell_angle_gamma 90.00
loop_
_atom_site_label
_atom_site_fract_x
_atom_site_fract_y
_atom_site_fract_z
Li1 0.500 0.000 0.000
Co1 0.500 0.500 0.500
Bi1 0.000 0.000 0.000
Li2 0.000 0.500 0.000
Hf1 0.000 0.000 0.500